Computed, not measured: a geometry-optimized ThSeCl structure at the PBE-GGA level of DFT.

Unit cell a=4.8945 b=4.8945 c=4.8945 alpha=60.00 beta=60.00 gamma=60.00
With the nearest neighbours (Å) after each atom.
Positions (direct):
Se 0.5000 0.5000 0.5000  4 Th 3.00
Cl 0.0000 0.0000 0.0000  4 Th 3.00
Th 0.2500 0.2500 0.2500  4 Cl 3.00, 4 Se 3.00

Computed properties:
N(E_F) (states/eV per cell): 2.3
Space-group type: F-43m
Size of the total moment (μB/atom): 0.342
Formation energy without anion corrections (eV per atom): -1.56